Density functional theory data (PBE-GGA) for a relaxed structure of Ta2SiTc.

Calculated values
energy relative to the elements, uncorrected: 29 meV per atom
DOS(E_F): 0.916 states/eV/atom
V: 65 Å³ per cell

Unit cell a=8.787 b=8.787 c=8.787 alpha=19.40 beta=19.40 gamma=19.40
Atoms (fractional coordinates):
Tc 0.250 0.250 0.250
Si 0.750 0.750 0.750
Ta 0.499 0.499 0.499
Ta 0.001 0.001 0.001

***

Density functional theory data (PBE-GGA) for a relaxed structure of PuPClO4.

Calculated values
energy relative to the elements, uncorrected: -2389 meV per atom
DOS(E_F): 1.029 states/eV/atom
V: 214 Å³ per cell

Unit cell a=5.988 b=5.988 c=6.527 alpha=78.39 beta=78.39 gamma=70.82
Last column: magnetic moment on the atom in μB.
Atoms (fractional coordinates):
O 0.136 0.487 0.149  -0.05
O 0.487 0.136 0.149  -0.05
O 0.289 0.289 0.500  -0.05
O 0.524 0.524 0.232  -0.04
O 0.711 0.711 0.500  -0.05
O 0.864 0.513 0.851  -0.05
O 0.513 0.864 0.851  -0.05
O 0.476 0.476 0.768  -0.04
Pu 0.237 0.237 0.848  4.25
Pu 0.763 0.763 0.152  4.25
Cl 0.019 0.019 0.232  -0.10
Cl 0.981 0.981 0.768  -0.10
P 0.636 0.636 0.737  0.01
P 0.364 0.364 0.263  0.01

***

Density functional theory data (PBE-GGA) for a relaxed structure of MgGa2As.

Calculated values
DOS(E_F): 0.914 states/eV/atom
DFT formation energy: 0.05 eV per atom
offset from the most stable computed form: 203.5 meV per atom
V: 81 Å³ per cell

Unit cell a=4.851 b=4.851 c=4.851 alpha=60.00 beta=60.00 gamma=60.00
Atoms (fractional coordinates):
Ga 0.250 0.250 0.250
Ga 0.750 0.750 0.750
Mg 0.000 0.000 0.000
As 0.500 0.500 0.500

***

Density functional theory data (PBE-GGA) for a relaxed structure of Na3Tm3ScS8.

Calculated values
energy relative to the elements, uncorrected: -1730 meV per atom
DOS(E_F): 0.470 states/eV/atom
V: 350 Å³ per cell

Unit cell a=7.756 b=7.761 c=8.079 alpha=118.77 beta=90.00 gamma=119.98
Atoms (fractional coordinates):
Na 0.500 0.500 0.000
Na 0.000 0.000 0.000
Na 0.000 0.500 0.000
Sc 0.000 0.000 0.500
S 0.258 0.516 0.274
S 0.234 0.467 0.716
S 0.766 0.017 0.284
S 0.742 0.484 0.726
S 0.766 0.533 0.284
S 0.234 0.983 0.716
S 0.251 0.017 0.284
S 0.749 0.983 0.716
Tm 0.500 0.000 0.500
Tm 0.000 0.500 0.500
Tm 0.500 0.500 0.500

***

Density functional theory data (PBE-GGA) for a relaxed structure of CaPr2Bi3.

Calculated values
DOS(E_F): 0.546 states/eV/atom
DFT formation energy: -0.84 eV per atom
V: 424 Å³ per cell

Unit cell a=6.564 b=9.174 c=8.099 alpha=106.44 beta=113.91 gamma=90.00
Atoms (fractional coordinates):
Ca 0.001 0.250 0.000
Ca 0.999 0.750 0.000
Pr 0.666 0.583 0.333
Pr 0.334 0.417 0.667
Pr 0.666 0.083 0.333
Pr 0.334 0.917 0.667
Bi 0.499 0.750 0.000
Bi 0.831 0.916 0.663
Bi 0.169 0.084 0.337
Bi 0.501 0.250 0.000
Bi 0.169 0.584 0.337
Bi 0.831 0.416 0.663

***

Density functional theory data (PBE-GGA) for a relaxed structure of Dy4Tm3Sc2.

Calculated values
DOS(E_F): 1.486 states/eV/atom
DFT formation energy: 0.11 eV per atom
offset from the most stable computed form: 47.8 meV per atom
V: 529 Å³ per cell

Unit cell a=5.851 b=9.855 c=9.855 alpha=69.77 beta=84.27 gamma=84.27
Atoms (fractional coordinates):
Tm 0.077 0.985 0.676
Tm 0.923 0.015 0.324
Tm 0.250 0.357 0.643
Tm 0.577 0.676 0.985
Tm 0.750 0.643 0.357
Tm 0.423 0.324 0.015
Dy 0.545 0.047 0.822
Dy 0.606 0.827 0.616
Dy 0.955 0.178 0.953
Dy 0.894 0.384 0.173
Dy 0.106 0.616 0.827
Dy 0.455 0.953 0.178
Dy 0.045 0.822 0.047
Dy 0.394 0.173 0.384
Sc 0.703 0.487 0.711
Sc 0.797 0.289 0.513
Sc 0.297 0.513 0.289
Sc 0.203 0.711 0.487

***

Density functional theory data (PBE-GGA) for a relaxed structure of ZrCo2BP.

Calculated values
DOS(E_F): 0.833 states/eV/atom
DFT formation energy: 0.32 eV per atom
V: 69 Å³ per cell

Unit cell a=4.049 b=4.183 c=4.049 alpha=90.00 beta=90.00 gamma=90.00
Last column: magnetic moment on the atom in μB.
Atoms (fractional coordinates):
Zr 0.500 0.500 0.500  -0.05
Co 0.000 0.000 0.500  0.48
Co 0.500 0.000 0.000  0.60
P 0.000 0.000 0.000  0.00
B 0.000 0.500 0.000  0.01

***

Density functional theory data (PBE-GGA) for a relaxed structure of Mn3NiPd12.

Calculated values
DOS(E_F): 1.187 states/eV/atom
DFT formation energy: -0.16 eV per atom
V: 240 Å³ per cell

Unit cell a=3.915 b=3.915 c=15.660 alpha=90.00 beta=90.00 gamma=90.00
Last column: magnetic moment on the atom in μB.
Atoms (fractional coordinates):
Pd 0.500 0.000 0.626  0.19
Pd 0.500 0.500 0.000  0.23
Pd 0.000 0.500 0.374  0.19
Pd 0.500 0.000 0.878  0.23
Pd 0.000 0.500 0.626  0.19
Pd 0.500 0.000 0.374  0.19
Pd 0.500 0.500 0.248  0.21
Pd 0.500 0.000 0.122  0.23
Pd 0.500 0.500 0.500  0.20
Pd 0.500 0.500 0.752  0.21
Pd 0.000 0.500 0.878  0.23
Pd 0.000 0.500 0.122  0.23
Mn 0.000 0.000 0.248  3.91
Mn 0.000 0.000 0.752  3.91
Mn 0.000 0.000 0.500  3.90
Ni 0.000 0.000 0.000  0.81

***

Density functional theory data (PBE-GGA) for a relaxed structure of CaInPb.

Calculated values
DOS(E_F): 0.477 states/eV/atom
DFT formation energy: -0.19 eV per atom
V: 190 Å³ per cell

Unit cell a=3.737 b=8.801 c=8.801 alpha=42.52 beta=77.74 gamma=77.74
Atoms (fractional coordinates):
Pb 0.861 0.956 0.323
Pb 0.139 0.677 0.044
In 0.500 0.547 0.453
In 0.000 0.133 0.867
Ca 0.185 0.141 0.488
Ca 0.815 0.512 0.859

***

Density functional theory data (PBE-GGA) for a relaxed structure of HfBeIr2.

Calculated values
DOS(E_F): 0.880 states/eV/atom
DFT formation energy: -0.10 eV per atom
V: 133 Å³ per cell

Unit cell a=4.018 b=4.018 c=8.704 alpha=76.66 beta=76.66 gamma=90.00
Atoms (fractional coordinates):
Ir 0.375 0.432 0.750
Ir 0.875 0.818 0.750
Ir 0.568 0.125 0.250
Ir 0.182 0.625 0.250
Be 0.250 0.750 0.500
Be 0.500 0.500 0.000
Hf 0.000 0.000 0.000
Hf 0.750 0.250 0.500

***

Density functional theory data (PBE-GGA) for a relaxed structure of PuOsSe2.

Calculated values
energy relative to the elements, uncorrected: 97 meV per atom
DOS(E_F): 2.685 states/eV/atom
V: 103 Å³ per cell

Unit cell a=3.825 b=3.825 c=8.431 alpha=76.89 beta=76.89 gamma=60.00
Last column: magnetic moment on the atom in μB.
Atoms (fractional coordinates):
Se 0.117 0.117 0.648  -0.05
Se 0.883 0.883 0.352  -0.05
Os 0.500 0.500 0.500  -0.18
Pu 0.000 0.000 0.000  5.76

***

Density functional theory data (PBE-GGA) for a relaxed structure of RbPaHg2I8.

Calculated values
energy relative to the elements, uncorrected: -728 meV per atom
V: 619 Å³ per cell

Unit cell a=7.961 b=8.163 c=10.361 alpha=70.26 beta=91.86 gamma=101.99
Atoms (fractional coordinates):
I 0.949 0.266 0.729
I 0.051 0.734 0.271
I 0.525 0.812 0.560
I 0.646 0.803 0.004
I 0.881 0.221 0.138
I 0.354 0.197 0.996
I 0.119 0.779 0.862
I 0.475 0.188 0.440
Rb 0.000 0.000 0.500
Hg 0.428 0.562 0.312
Hg 0.572 0.438 0.688
Pa 0.000 0.000 0.000

***

- The highest V belongs to which entry?
  RbPaHg2I8

***

- Which formula does entry 4 have?
  Na3Tm3ScS8